A relaxed structure of Cr2SiBr, computed with GGA-PBE.

## Properties
- energy above the lowest structure with this stoichiometry (meV per atom) = 0
- space group = Imm2 (44)
- energy relative to the elements, uncorrected (eV per atom) = 0.15
- total energy (Ry/atom) = -0.4732

a = 6.7148 Å, b = 6.7148 Å, c = 3.2600 Å
α = 75.93°, β = 75.93°, γ = 32.63°
Last column: nearest neighbours and their distance in Å.
Fractional positions:
Si1 0.5340 0.5340 0.3406  6 Cr 2.44-2.51
Cr1 0.1577 0.1577 0.2174  2 Si 2.44, 2 Cr 2.46, 2 Br 2.58
Cr2 0.0098 0.0098 0.8652  2 Cr 2.46, 4 Si 2.51, 1 Br 2.64
Br1 0.7984 0.7984 0.0769  3 Cr 2.58-2.64